Entry from the Alexandria database: a relaxed TlNi2Sb crystal (PBE).

```
data_TlNi2Sb
_cell_length_a 8.370
_cell_length_b 3.302
_cell_length_c 7.051
_cell_angle_alpha 90.00
_cell_angle_beta 123.80
_cell_angle_gamma 90.00
_symmetry_space_group_name_H-M 'C 1 2/m 1'
_symmetry_Int_Tables_number 12
loop_
_symmetry_equiv_pos_as_xyz
'x,y,z'
'-x,-y,-z'
'-x,y,-z'
'x,-y,z'
'x+1/2,y+1/2,z'
'-x+1/2,-y+1/2,-z'
'-x+1/2,y+1/2,-z'
'x+1/2,-y+1/2,z'
loop_
_atom_site_label
_atom_site_type_symbol
_atom_site_fract_x
_atom_site_fract_y
_atom_site_fract_z
_atom_site_occupancy
Tl1 Tl 0.000 0.000 0.000 1
Ni1 Ni 0.216 0.500 0.346 1
Sb1 Sb 0.000 0.500 0.500 1
```

Values from the calculation:
Energy relative to the elements, uncorrected (eV/atom): 0.1007